First-principles (PBE-GGA) data for crystalline K2IrCl at its relaxed geometry, as listed in Alexandria.

```
data_K2IrCl
_symmetry_space_group_name_H-M 'F -4 3 m'
_symmetry_Int_Tables_number 216
_symmetry_space_group_name_Hall 'F -4 2 3'
_cell_length_a 7.7724
_cell_length_b 7.7724
_cell_length_c 7.7724
_cell_angle_alpha 90.00
_cell_angle_beta 90.00
_cell_angle_gamma 90.00
loop_
_atom_site_label
_atom_site_type_symbol
_atom_site_fract_x
_atom_site_fract_y
_atom_site_fract_z
_atom_site_occupancy
K1 K 0.0000 0.0000 0.0000 1
K2 K 0.2500 0.2500 0.2500 1
Ir1 Ir 0.2500 0.2500 0.7500 1
Cl1 Cl 0.0000 0.0000 0.5000 1
```

***

First-principles (PBE-GGA) data for crystalline K2IrCl at its relaxed geometry, as listed in Alexandria.

```
data_K2IrCl
_symmetry_space_group_name_H-M 'A m m 2'
_symmetry_Int_Tables_number 38
_symmetry_space_group_name_Hall 'A 2 -2'
_cell_length_a 5.9796
_cell_length_b 2.8669
_cell_length_c 12.4497
_cell_angle_alpha 90.00
_cell_angle_beta 90.00
_cell_angle_gamma 90.00
loop_
_atom_site_label
_atom_site_type_symbol
_atom_site_fract_x
_atom_site_fract_y
_atom_site_fract_z
_atom_site_occupancy
K1 K 0.0000 0.0000 0.0000 1
K2 K 0.5000 0.0000 0.2357 1
Ir1 Ir 0.0000 0.0000 0.7436 1
Cl1 Cl 0.5000 0.0000 0.5007 1
```

***

First-principles (PBE-GGA) data for crystalline KIrCl at its relaxed geometry, as listed in Alexandria.

```
data_KIrCl
_symmetry_space_group_name_H-M 'F -4 3 m'
_symmetry_Int_Tables_number 216
_symmetry_space_group_name_Hall 'F -4 2 3'
_cell_length_a 6.7807
_cell_length_b 6.7807
_cell_length_c 6.7807
_cell_angle_alpha 90.00
_cell_angle_beta 90.00
_cell_angle_gamma 90.00
loop_
_atom_site_label
_atom_site_type_symbol
_atom_site_fract_x
_atom_site_fract_y
_atom_site_fract_z
_atom_site_occupancy
K1 K 0.0000 0.0000 0.0000 1
Ir1 Ir 0.2500 0.2500 0.2500 1
Cl1 Cl 0.0000 0.0000 0.5000 1
```

***

First-principles (PBE-GGA) data for crystalline K2IrCl at its relaxed geometry, as listed in Alexandria.

```
data_K2IrCl
_symmetry_space_group_name_H-M 'P 4 m m'
_symmetry_Int_Tables_number 99
_symmetry_space_group_name_Hall 'P 4 -2'
_cell_length_a 4.6896
_cell_length_b 4.6896
_cell_length_c 6.8283
_cell_angle_alpha 90.00
_cell_angle_beta 90.00
_cell_angle_gamma 90.00
loop_
_atom_site_label
_atom_site_type_symbol
_atom_site_fract_x
_atom_site_fract_y
_atom_site_fract_z
_atom_site_occupancy
K1 K 0.0000 0.0000 0.0000 1
K2 K 0.5000 0.5000 0.4972 1
Ir1 Ir 0.5000 0.5000 0.9968 1
Cl1 Cl 0.0000 0.0000 0.4978 1
```

***

First-principles (PBE-GGA) data for crystalline KIrCl5 at its relaxed geometry, as listed in Alexandria.

```
data_KIrCl5
_symmetry_space_group_name_H-M 'C 1 2/c 1'
_symmetry_Int_Tables_number 15
_symmetry_space_group_name_Hall '-C 2yc'
_cell_length_a 11.5164
_cell_length_b 8.5264
_cell_length_c 8.8745
_cell_angle_alpha 90.00
_cell_angle_beta 110.57
_cell_angle_gamma 90.00
loop_
_atom_site_label
_atom_site_type_symbol
_atom_site_fract_x
_atom_site_fract_y
_atom_site_fract_z
_atom_site_occupancy
K1 K 0.0000 0.0269 0.2500 1
Ir1 Ir 0.0000 0.5000 0.0000 1
Cl1 Cl 0.0000 0.4007 0.2500 1
Cl2 Cl 0.0881 0.2539 0.9863 1
Cl3 Cl 0.1959 0.3943 0.6226 1
```

***

First-principles (PBE-GGA) data for crystalline KIrCl3 at its relaxed geometry, as listed in Alexandria.

```
data_KIrCl3
_symmetry_space_group_name_H-M 'P m -3 m'
_symmetry_Int_Tables_number 221
_symmetry_space_group_name_Hall '-P 4 2 3'
_cell_length_a 4.9141
_cell_length_b 4.9141
_cell_length_c 4.9141
_cell_angle_alpha 90.00
_cell_angle_beta 90.00
_cell_angle_gamma 90.00
loop_
_atom_site_label
_atom_site_type_symbol
_atom_site_fract_x
_atom_site_fract_y
_atom_site_fract_z
_atom_site_occupancy
K1 K 0.0000 0.0000 0.0000 1
Ir1 Ir 0.5000 0.5000 0.5000 1
Cl1 Cl 0.0000 0.5000 0.5000 1
```

***

no.,uncorrected energy (eV/cell),formation energy without anion corrections (kcal/mol of atoms)
1,-44.78,9.85
2,-25.59,0.62
3,-35.27,22.97
4,-12.28,3.59
5,-99.35,-18.60
6,-19.01,-16.22